No. 1
Li8Pt4O11 (PBE, optimized geometry); ΔE to the lowest computed polymorph = 0.07 eV/f.u.; calculated volume = 9.519 Å³ per atom; total DFT energy (no corrections) = -123.48 eV/cell; total magnetic moment = 0.01 μB/f.u.
1.0
5.040 0.000 0.000
0.900 5.078 0.000
2.361 0.403 8.554
Li Pt O
8 4 11
direct
0.000 0.000 0.000 Li
0.055 0.236 0.416 Li
0.162 0.496 0.833 Li
0.330 0.993 0.666 Li
0.494 0.498 0.506 Li
0.580 0.753 0.914 Li
0.677 0.972 0.329 Li
0.836 0.507 0.152 Li
0.257 0.725 0.241 Pt
0.406 0.265 0.092 Pt
0.744 0.243 0.750 Pt
0.915 0.741 0.578 Pt
0.046 0.131 0.211 O
0.108 0.373 0.623 O
0.207 0.621 0.039 O
0.287 0.846 0.449 O
0.385 0.121 0.874 O
0.555 0.614 0.704 O
0.605 0.887 0.130 O
0.703 0.112 0.545 O
0.775 0.366 0.956 O
0.888 0.612 0.371 O
0.954 0.874 0.779 O

No. 2
Li3Pt2O6 (PBE, optimized geometry); ΔE to the lowest computed polymorph = 0.00 eV/f.u.; calculated volume = 10.030 Å³ per atom; total DFT energy (no corrections) = -59.78 eV/cell; total magnetic moment = 0.91 μB/f.u.
1.0
2.567 -4.551 0.000
2.567 4.551 0.000
-1.651 0.000 4.721
Li Pt O
3 2 6
direct
0.000 0.000 0.000 Li
0.159 0.841 0.500 Li
0.841 0.159 0.500 Li
0.338 0.662 0.000 Pt
0.662 0.338 0.000 Pt
0.066 0.424 0.232 O
0.259 0.259 0.769 O
0.424 0.066 0.232 O
0.576 0.934 0.768 O
0.741 0.741 0.231 O
0.934 0.576 0.768 O

No. 3
Li2Pt2O5 (PBE, optimized geometry); ΔE to the lowest computed polymorph = 0.00 eV/f.u.; calculated volume = 12.082 Å³ per atom; total DFT energy (no corrections) = -45.89 eV/cell; total magnetic moment = 0.14 μB/f.u.
1.0
3.832 0.000 0.000
0.000 3.832 0.000
0.000 0.000 7.406
Li Pt O
2 2 5
direct
0.000 0.000 0.000 Li
0.000 0.000 0.500 Li
0.500 0.500 0.215 Pt
0.500 0.500 0.785 Pt
0.000 0.500 0.173 O
0.000 0.500 0.827 O
0.500 0.000 0.173 O
0.500 0.000 0.827 O
0.500 0.500 0.500 O

No. 4
Li6Pt4O11 (PBE, optimized geometry); ΔE to the lowest computed polymorph = 1.58 eV/f.u.; calculated volume = 10.460 Å³ per atom; total DFT energy (no corrections) = -111.26 eV/cell; total magnetic moment = 2.00 μB/f.u.
1.0
5.130 0.000 0.000
0.751 5.145 0.000
2.341 0.601 8.322
Li Pt O
6 4 11
direct
0.000 0.000 0.000 Li
0.038 0.267 0.482 Li
0.503 0.235 0.079 Li
0.553 0.474 0.519 Li
0.641 0.755 0.916 Li
0.916 0.772 0.596 Li
0.208 0.487 0.849 Pt
0.290 0.761 0.273 Pt
0.366 0.001 0.667 Pt
0.872 0.478 0.196 Pt
0.021 0.843 0.800 O
0.182 0.374 0.643 O
0.249 0.566 0.075 O
0.257 0.936 0.469 O
0.383 0.110 0.882 O
0.497 0.404 0.305 O
0.549 0.643 0.718 O
0.643 0.872 0.135 O
0.709 0.119 0.554 O
0.849 0.369 0.984 O
0.940 0.610 0.390 O

No. 5
Li2PtO3 (PBE, optimized geometry); calculated volume = 9.229 Å³ per atom; total DFT energy (no corrections) = -64.44 eV/cell; total magnetic moment = 0.00 μB/f.u.
1.0
2.560 -4.416 0.000
2.560 4.416 0.000
-1.852 0.000 4.899
Li Pt O
4 2 6
direct
0.089 0.911 0.750 Li
0.248 0.752 0.250 Li
0.752 0.248 0.750 Li
0.911 0.089 0.250 Li
0.414 0.586 0.750 Pt
0.586 0.414 0.250 Pt
0.000 0.500 0.500 O
0.192 0.346 0.997 O
0.346 0.192 0.497 O
0.500 0.000 0.000 O
0.654 0.808 0.503 O
0.808 0.654 0.003 O

No. 6
Li4Pt2O5 (PBE, optimized geometry); calculated volume = 10.421 Å³ per atom; total DFT energy (no corrections) = -56.11 eV/cell; total magnetic moment = 0.00 μB/f.u.
1.0
2.144 -6.298 0.000
2.144 6.298 0.000
0.000 0.000 4.245
Li Pt O
4 2 5
direct
0.000 0.000 0.000 Li
0.188 0.812 0.500 Li
0.500 0.500 0.500 Li
0.812 0.188 0.500 Li
0.337 0.663 0.000 Pt
0.663 0.337 0.000 Pt
0.169 0.831 0.000 O
0.347 0.653 0.500 O
0.500 0.500 0.000 O
0.653 0.347 0.500 O
0.831 0.169 0.000 O

No. 7
Li7PtO6 (PBE, optimized geometry); calculated volume = 8.951 Å³ per atom; total DFT energy (no corrections) = -70.65 eV/cell; total magnetic moment = 0.95 μB/f.u.
1.0
2.760 1.593 4.749
-2.760 1.593 4.749
0.000 -3.187 4.749
Li Pt O
7 1 6
direct
0.000 0.000 0.000 Li
0.160 0.422 0.716 Li
0.171 0.930 0.535 Li
0.422 0.716 0.160 Li
0.535 0.171 0.930 Li
0.716 0.160 0.422 Li
0.930 0.535 0.171 Li
0.656 0.656 0.656 Pt
0.023 0.773 0.417 O
0.276 0.580 0.865 O
0.417 0.023 0.773 O
0.580 0.865 0.276 O
0.773 0.417 0.023 O
0.865 0.276 0.580 O

No. 8
Li2PtO2 (PBE, optimized geometry); calculated volume = 10.646 Å³ per atom; total DFT energy (no corrections) = -52.06 eV/cell; total magnetic moment = 0.00 μB/f.u.
1.0
1.530 -4.770 0.000
1.530 4.770 0.000
0.000 0.000 7.293
Li Pt O
4 2 4
direct
0.097 0.903 0.500 Li
0.377 0.623 0.700 Li
0.623 0.377 0.200 Li
0.903 0.097 0.000 Li
0.361 0.639 0.344 Pt
0.639 0.361 0.844 Pt
0.010 0.990 0.753 O
0.267 0.733 0.927 O
0.733 0.267 0.427 O
0.990 0.010 0.253 O

No. 9
Li4SiPtO6 (PBE, optimized geometry); calculated volume = 8.456 Å³ per atom; total DFT energy (no corrections) = -71.45 eV/cell; total magnetic moment = 0.00 μB/f.u.
1.0
2.497 -4.327 0.000
2.497 4.327 0.000
-1.692 0.000 4.695
Li Si Pt O
4 1 1 6
direct
0.000 0.000 0.000 Li
0.162 0.838 0.500 Li
0.498 0.502 0.500 Li
0.839 0.161 0.500 Li
0.333 0.667 0.000 Si
0.667 0.333 0.000 Pt
0.109 0.447 0.219 O
0.263 0.296 0.774 O
0.415 0.043 0.225 O
0.553 0.891 0.781 O
0.704 0.737 0.226 O
0.957 0.585 0.775 O

No. 10
Li4SnPtO6 (PBE, optimized geometry); calculated volume = 9.639 Å³ per atom; total DFT energy (no corrections) = -66.72 eV/cell; total magnetic moment = 0.00 μB/f.u.
1.0
2.623 -4.547 0.000
2.623 4.547 0.000
-1.728 0.000 4.849
Li Sn Pt O
4 1 1 6
direct
0.000 0.000 0.000 Li
0.363 0.637 0.000 Li
0.680 0.320 0.000 Li
0.845 0.155 0.500 Li
0.180 0.820 0.500 Sn
0.513 0.487 0.500 Pt
0.115 0.418 0.259 O
0.273 0.238 0.737 O
0.424 0.082 0.262 O
0.582 0.885 0.741 O
0.762 0.727 0.263 O
0.918 0.576 0.738 O